Material: SrLaNp2O8
Method: DFT, PBE
State: optimized geometry

a b c (Å): 6.6117 6.6117 6.6117
angles (deg): 130.45 130.45 72.69
Sites, in units of the cell vectors:
Sr (0.0000, 0.0000, 0.0000)
La (0.2500, 0.7500, 0.5000)
Np (0.5000, 0.5000, 0.0000)
Np (0.7500, 0.2500, 0.5000)
O (0.1266, 0.1562, 0.5358)
O (0.1286, 0.5916, 0.9716)
O (0.4084, 0.3801, 0.5370)
O (0.4092, 0.8734, 0.0295)
O (0.6199, 0.1570, 0.0284)
O (0.6203, 0.5908, 0.4642)
O (0.8430, 0.8714, 0.4630)
O (0.8438, 0.3797, 0.9705)

- Total magnetization: 3.0 μB per cell
- DFT total energy: -9.003 eV/atom
- Symmetry: No. 82